Computed, not measured: an optimized crystal structure of NbVO6 at the PBE with a Hubbard U level of DFT.

Computed properties:
DFT total energy: -7.512 eV per atom
D(E_F): 0.578 states/eV/atom

a = 5.4557 Å, b = 5.4557 Å, c = 13.3632 Å
α = 90.00°, β = 90.00°, γ = 120.00°
Space group R-3 (No. 148, hexagonal axes)
One atom of each set of equivalent atoms:
1 Nb 0.0000 0.0000 0.0000 (multiplicity 3)
2 V 0.0000 0.0000 0.5000 (multiplicity 3)
3 O 0.0109 0.5066 0.2473 (multiplicity 18)